Compound: FeMoOs2
Source: the Alexandria database
Functional: PBE-GGA
Structure: optimized geometry

Unit cell a=5.421 b=7.551 c=2.759 alpha=90.00 beta=90.00 gamma=90.00
Space group Cmmm (No. 65)
Inequivalent atoms, fractional coordinates:
Fe1 0.000 0.000 0.000 [2 per cell]
Mo1 0.000 0.500 0.000 [2 per cell]
Os1 0.250 0.250 0.500 [4 per cell]

Output
- VASP energy (eV/cell) = -82.23

Compound: Fe2MoOs
Source: the Alexandria database
Functional: PBE-GGA
Structure: optimized geometry

Unit cell a=3.738 b=3.738 c=3.664 alpha=90.00 beta=90.00 gamma=90.00
Space group P4/mmm (No. 123)
Inequivalent atoms, fractional coordinates:
Fe1 0.000 0.500 0.000 [2 per cell]
Mo1 0.000 0.000 0.500 [1 per cell]
Os1 0.500 0.500 0.500 [1 per cell]

Output
- VASP energy (eV/cell) = -38.62

Compound: FeMo2Os
Source: the Alexandria database
Functional: PBE-GGA
Structure: optimized geometry

Unit cell a=2.736 b=4.363 c=4.871 alpha=90.00 beta=95.44 gamma=90.00
Space group Pm (No. 6)
Inequivalent atoms, fractional coordinates:
Fe1 0.000 0.000 0.000 [1 per cell]
Mo1 0.419 0.000 0.497 [1 per cell]
Mo2 0.622 0.500 0.181 [1 per cell]
Os1 0.028 0.500 0.694 [1 per cell]

Output
- VASP energy (eV/cell) = -40.78